# 1
Below is a relaxed AlAg4 crystal, with properties calculated at the GGA-PBE level.

Structure (CIF):
```
data_AlAg4
_space_group_name_H-M_alt 'R -3 m'
_space_group_IT_number 166
_space_group_name_Hall '-R 3 2"'
_cell_length_a 2.9508
_cell_length_b 2.9508
_cell_length_c 34.7849
_cell_angle_alpha 90.00
_cell_angle_beta 90.00
_cell_angle_gamma 120.00
loop_
_atom_site_label
_atom_site_fract_x
_atom_site_fract_y
_atom_site_fract_z
Al1 0.0000 0.0000 0.0000
Ag1 0.0000 0.0000 0.2013
Ag2 0.0000 0.0000 0.3961
```

=====

# 2
Below is a relaxed Nd3Ga2Cu3 crystal, with properties calculated at the GGA-PBE level.

Structure (CIF):
```
data_Nd3Ga2Cu3
_space_group_name_H-M_alt 'P n m a'
_space_group_IT_number 62
_cell_length_a 7.541
_cell_length_b 15.084
_cell_length_c 6.101
_cell_angle_alpha 90.00
_cell_angle_beta 90.00
_cell_angle_gamma 90.00
loop_
_space_group_symop_operation_xyz
'x,y,z'
'-x,-y,-z'
'-x+1/2,-y,z+1/2'
'x+1/2,y,-z+1/2'
'x+1/2,-y+1/2,-z+1/2'
'-x+1/2,y+1/2,z+1/2'
'-x,y+1/2,-z'
'x,-y+1/2,z'
loop_
_atom_site_label
_atom_site_fract_x
_atom_site_fract_y
_atom_site_fract_z
Nd1 0.006 0.107 0.142
Nd2 0.145 0.250 0.619
Ga1 0.145 0.599 0.355
Cu1 0.158 0.036 0.582
Cu2 0.216 0.750 0.603
```

=====

# 3
Below is a relaxed SmEuCuPd crystal, with properties calculated at the GGA-PBE level.

Structure (CIF):
```
data_SmEuCuPd
_space_group_name_H-M_alt 'F -4 3 m'
_space_group_IT_number 216
_space_group_name_Hall 'F -4 2 3'
_cell_length_a 7.183
_cell_length_b 7.183
_cell_length_c 7.183
_cell_angle_alpha 90.00
_cell_angle_beta 90.00
_cell_angle_gamma 90.00
loop_
_atom_site_label
_atom_site_fract_x
_atom_site_fract_y
_atom_site_fract_z
Sm1 0.000 0.000 0.000
Eu1 0.000 0.000 0.500
Cu1 0.250 0.250 0.750
Pd1 0.250 0.250 0.250
```

=====

Number 1: final energy -3.036 eV per atom. Number 2: final energy -4.437 eV per atom. Number 3: final energy -6.484 eV per atom.